[1]
A PBEsol-optimized structure of KZnAg2. Source: Alexandria, functional SCAN.

```
KZnAg2
1.0
-0.318 2.813 0.339
-5.413 -0.979 0.485
3.428 -1.475 4.747
Zn Ag K
1 2 1
Direct
0.000 0.500 0.000 Zn
0.500 0.500 0.500 Ag
0.000 0.000 0.500 Ag
0.500 0.000 0.000 K
```

* SG: No. 12
* ΔH_f (0 K): 0.355 eV/atom
* V: 20.51 Å³ per atom



[2]
A PBEsol-optimized structure of AlCdHg2I. Source: Alexandria, functional SCAN.

```
AlCdHg2I
1.0
5.230 0.000 0.000
0.000 5.230 0.000
0.000 0.000 5.646
Al Hg Cd I
1 2 1 1
Direct
0.000 0.000 0.000 Al
0.500 0.000 0.000 Hg
0.000 0.500 0.000 Hg
0.500 0.500 0.500 Cd
0.000 0.000 0.500 I
```

* SG: No. 123
* V: 30.89 Å³ per atom
* E_form (uncorrected): 19 meV/atom



[3]
A PBEsol-optimized structure of HfCd2Si2. Source: Alexandria, functional SCAN.

```
HfCd2Si2
1.0
3.370 0.000 0.000
0.000 3.370 0.000
-1.685 -1.685 8.667
Hf Si Cd
1 2 2
Direct
0.000 0.000 0.000 Hf
0.250 0.750 0.500 Si
0.750 0.250 0.500 Si
0.390 0.390 0.780 Cd
0.610 0.610 0.220 Cd
```

* SG: No. 139
* V: 19.69 Å³ per atom
* E_form (uncorrected): 352 meV/atom



[4]
A PBEsol-optimized structure of KTa2Hg. Source: Alexandria, functional SCAN.

```
KTa2Hg
1.0
-2.647 0.067 0.982
0.520 -2.298 1.557
3.267 6.410 8.370
Hg K Ta
1 1 2
Direct
0.500 0.500 0.000 Hg
0.500 0.500 0.500 K
0.000 0.000 0.206 Ta
0.000 0.000 0.794 Ta
```

* SG: No. 123
* ΔH_f (0 K): 0.956 eV/atom
* V: 22.01 Å³ per atom



[5]
A PBEsol-optimized structure of NaHg2Bi2. Source: Alexandria, functional SCAN.

```
NaHg2Bi2
1.0
4.815 0.000 0.000
0.000 4.815 0.000
-2.408 -2.408 6.563
Bi Na Hg
2 1 2
Direct
0.750 0.250 0.500 Bi
0.250 0.750 0.500 Bi
0.000 0.000 0.000 Na
0.397 0.397 0.794 Hg
0.603 0.603 0.206 Hg
```

* SG: No. 139
* ΔH_f (0 K): -0.084 eV/atom
* V: 30.44 Å³ per atom



[6]
A PBEsol-optimized structure of Sm3Mg. Source: Alexandria, functional SCAN.

```
Sm3Mg
1.0
-1.025 3.591 -3.137
0.379 -3.137 -3.715
-4.449 -1.255 3.807
Mg Sm
1 3
Direct
0.000 0.000 0.000 Mg
0.500 0.500 0.000 Sm
0.750 0.250 0.500 Sm
0.250 0.750 0.500 Sm
```

* SG: No. 139
* ΔH_f (0 K): -0.013 eV/atom
* V: 29.11 Å³ per atom



[7]
A PBEsol-optimized structure of Ga2SnSe. Source: Alexandria, functional SCAN.

```
Ga2SnSe
1.0
5.946 0.000 0.000
0.000 5.946 0.000
-2.973 -2.973 5.998
Sn Se Ga
2 2 4
Direct
0.250 0.750 0.500 Sn
0.000 0.000 0.000 Sn
0.500 0.500 0.000 Se
0.750 0.250 0.500 Se
0.381 0.875 0.250 Ga
0.869 0.375 0.250 Ga
0.125 0.131 0.750 Ga
0.625 0.619 0.750 Ga
```

* SG: No. 122
* V: 26.51 Å³ per atom
* E_form (uncorrected): -228 meV/atom



[8]
A PBEsol-optimized structure of ZnReW. Source: Alexandria, functional SCAN.

```
ZnReW
1.0
4.203 0.000 0.000
2.102 3.640 0.000
2.102 1.213 3.432
Re W Zn
1 1 1
Direct
0.250 0.250 0.250 Re
0.000 0.000 0.000 W
0.500 0.500 0.500 Zn
```

* SG: No. 216
* ΔH_f (0 K): 0.744 eV/atom
* V: 17.50 Å³ per atom



[9]
A PBEsol-optimized structure of CoHAuO2. Source: Alexandria, functional SCAN.

```
CoHAuO2
1.0
-2.752 0.647 1.777
-1.618 -3.079 -1.385
1.370 -2.003 2.851
Co H O Au
1 1 2 1
Direct
0.000 0.000 0.000 Co
0.500 0.000 0.000 H
0.000 0.500 0.000 O
0.000 0.000 0.500 O
0.500 0.500 0.500 Au
```

* uncorrected energy: -20.457 eV/atom
* SG: No. 123
* V: 9.36 Å³ per atom



[10]
A PBEsol-optimized structure of FeNiPt2. Source: Alexandria, functional SCAN.

```
FeNiPt2
1.0
-2.499 2.375 1.148
-2.015 -2.853 1.516
1.892 0.406 3.279
Fe Ni Pt
1 1 2
Direct
0.500 0.500 0.500 Fe
0.500 0.000 0.000 Ni
0.000 0.500 0.000 Pt
0.000 0.000 0.500 Pt
```

* SG: No. 123
* ΔH_f (0 K): -0.379 eV/atom
* V: 13.17 Å³ per atom



[11]
A PBEsol-optimized structure of TlReHg2. Source: Alexandria, functional SCAN.

```
TlReHg2
1.0
4.187 0.000 0.000
0.000 4.187 0.000
0.000 0.000 4.358
Re Hg Tl
1 2 1
Direct
0.500 0.500 0.500 Re
0.500 0.000 0.000 Hg
0.000 0.500 0.000 Hg
0.000 0.000 0.500 Tl
```

* SG: No. 123
* ΔH_f (0 K): 1.025 eV/atom
* V: 19.10 Å³ per atom



[12]
A PBEsol-optimized structure of Sc2PbBr. Source: Alexandria, functional SCAN.

```
Sc2PbBr
1.0
-3.332 0.088 0.173
-0.175 -2.642 -2.031
0.191 -4.676 6.066
Br Sc Pb
1 2 1
Direct
0.500 0.500 0.000 Br
0.000 0.000 0.763 Sc
0.000 0.000 0.237 Sc
0.500 0.500 0.500 Pb
```

* SG: No. 123
* V: 21.33 Å³ per atom
* E_form (uncorrected): -617 meV/atom



[13]
A PBEsol-optimized structure of Al2Ag. Source: Alexandria, functional SCAN.

```
Al2Ag
1.0
-0.602 0.662 -2.692
-3.040 -2.571 0.047
-10.560 12.587 5.460
Ag Al
4 8
Direct
0.000 0.000 0.623 Ag
0.500 0.500 0.207 Ag
0.500 0.500 0.377 Ag
0.000 0.000 0.793 Ag
0.000 0.000 0.960 Al
0.000 0.000 0.126 Al
0.500 0.500 0.542 Al
0.500 0.500 0.708 Al
0.000 0.000 0.292 Al
0.000 0.000 0.458 Al
0.500 0.500 0.040 Al
0.500 0.500 0.874 Al
```

* SG: No. 59
* ΔH_f (0 K): -0.027 eV/atom
* V: 16.29 Å³ per atom



[14]
A PBEsol-optimized structure of Nb4CrS8. Source: Alexandria, functional SCAN.

```
Nb4CrS8
1.0
6.600 0.000 0.000
-3.300 5.716 0.000
0.000 0.000 11.783
Nb S Cr
8 16 2
Direct
0.506 0.012 0.750 Nb
0.988 0.494 0.750 Nb
0.012 0.506 0.250 Nb
0.494 0.506 0.250 Nb
0.494 0.988 0.250 Nb
0.000 0.000 0.750 Nb
0.506 0.494 0.750 Nb
0.000 0.000 0.250 Nb
0.667 0.333 0.887 S
0.333 0.167 0.117 S
0.333 0.167 0.383 S
0.333 0.667 0.113 S
0.167 0.833 0.617 S
0.333 0.667 0.387 S
0.167 0.333 0.617 S
0.167 0.333 0.883 S
0.833 0.167 0.117 S
0.667 0.833 0.883 S
0.833 0.667 0.383 S
0.833 0.167 0.383 S
0.667 0.833 0.617 S
0.833 0.667 0.117 S
0.167 0.833 0.883 S
0.667 0.333 0.613 S
0.000 0.000 0.500 Cr
0.000 0.000 0.000 Cr
```

* SG: No. 194
* V: 17.10 Å³ per atom
* E_form (uncorrected): -1261 meV/atom



[15]
A PBEsol-optimized structure of MnNi2P. Source: Alexandria, functional SCAN.

```
MnNi2P
1.0
-1.742 0.944 -2.916
-2.436 -0.560 3.405
1.760 3.053 -0.063
P Ni Mn
1 2 1
Direct
0.500 0.000 0.500 P
0.000 0.000 0.000 Ni
0.750 0.500 0.250 Ni
0.250 0.500 0.750 Mn
```

* SG: No. 119
* ΔH_f (0 K): -0.299 eV/atom
* V: 10.59 Å³ per atom



[16]
A PBEsol-optimized structure of Ho5Mo2O12. Source: Alexandria, functional SCAN.

```
Ho5Mo2O12
1.0
-3.327 -0.334 -4.563
6.518 -0.899 -1.180
-2.614 -6.538 2.385
Ho O Mo
5 12 2
Direct
0.695 0.389 0.360 Ho
0.305 0.611 0.640 Ho
0.315 0.630 0.179 Ho
0.000 0.000 0.500 Ho
0.685 0.370 0.821 Ho
0.499 0.999 0.816 O
0.908 0.330 0.084 O
0.578 0.670 0.916 O
0.999 0.998 0.205 O
0.902 0.310 0.575 O
0.098 0.690 0.425 O
0.407 0.310 0.575 O
0.501 0.001 0.184 O
0.092 0.670 0.916 O
0.593 0.690 0.425 O
0.422 0.330 0.084 O
0.001 0.002 0.795 O
0.782 0.000 0.000 Mo
0.218 0.000 0.000 Mo
```

* SG: No. 12
* V: 12.75 Å³ per atom
* E_form (uncorrected): -3395 meV/atom



[17]
A PBEsol-optimized structure of Tm2O3. Source: Alexandria, functional SCAN.

```
Tm2O3
1.0
-2.999 -8.394 0.958
6.483 0.168 -6.190
3.262 2.919 7.823
O Tm
24 16
Direct
0.457 0.229 0.968 O
0.543 0.771 0.032 O
0.739 0.271 0.728 O
0.261 0.729 0.272 O
0.229 0.468 0.957 O
0.011 0.272 0.543 O
0.271 0.228 0.239 O
0.043 0.011 0.772 O
0.032 0.761 0.989 O
0.532 0.543 0.271 O
0.468 0.457 0.729 O
0.239 0.511 0.468 O
0.228 0.739 0.771 O
0.771 0.532 0.043 O
0.728 0.957 0.489 O
0.729 0.772 0.761 O
0.957 0.989 0.228 O
0.989 0.728 0.457 O
0.272 0.043 0.511 O
0.489 0.032 0.261 O
0.968 0.239 0.011 O
0.772 0.261 0.229 O
0.761 0.489 0.532 O
0.511 0.968 0.739 O
0.783 0.750 0.533 Tm
0.000 0.000 0.000 Tm
0.467 0.717 0.750 Tm
0.750 0.533 0.783 Tm
0.000 0.500 0.500 Tm
0.217 0.250 0.467 Tm
0.283 0.750 0.033 Tm
0.500 0.000 0.500 Tm
0.967 0.217 0.750 Tm
0.250 0.967 0.717 Tm
0.500 0.500 0.000 Tm
0.717 0.250 0.967 Tm
0.033 0.783 0.250 Tm
0.750 0.033 0.283 Tm
0.250 0.467 0.217 Tm
0.533 0.283 0.250 Tm
```

* SG: No. 206
* V: 13.87 Å³ per atom
* E_form (uncorrected): -4025 meV/atom



[18]
A PBEsol-optimized structure of MgMnRu2. Source: Alexandria, functional SCAN.

```
MgMnRu2
1.0
3.716 0.000 0.000
0.000 3.716 0.000
-1.858 -1.858 3.966
Ru Mn Mg
2 1 1
Direct
0.000 0.000 0.000 Ru
0.750 0.250 0.500 Ru
0.250 0.750 0.500 Mn
0.500 0.500 0.000 Mg
```

* SG: No. 119
* ΔH_f (0 K): 0.023 eV/atom
* V: 13.69 Å³ per atom



[19]
A PBEsol-optimized structure of CaSnAu3. Source: Alexandria, functional SCAN.

```
CaSnAu3
1.0
5.110 0.000 0.000
0.000 5.110 0.000
0.000 0.000 5.110
Sn Au Ca
1 3 1
Direct
0.000 0.000 0.000 Sn
0.000 0.500 0.000 Au
0.000 0.000 0.500 Au
0.500 0.000 0.000 Au
0.500 0.500 0.500 Ca
```

* SG: No. 221
* ΔH_f (0 K): -0.182 eV/atom
* V: 26.69 Å³ per atom



[20]
A PBEsol-optimized structure of Al3Ga. Source: Alexandria, functional SCAN.

```
Al3Ga
1.0
-1.221 2.773 -2.661
-3.566 -1.854 -0.295
-1.426 2.264 3.014
Al Ga
3 1
Direct
0.000 0.500 0.000 Al
0.500 0.000 0.000 Al
0.000 0.000 0.500 Al
0.500 0.500 0.500 Ga
```

* SG: No. 221
* ΔH_f (0 K): 0.007 eV/atom
* V: 16.37 Å³ per atom



[21]
A PBEsol-optimized structure of YSi2Sb. Source: Alexandria, functional SCAN.

```
YSi2Sb
1.0
-3.051 4.213 2.799
-4.705 -1.720 3.695
1.925 1.785 5.644
Y Sb Si
2 2 4
Direct
0.250 0.500 0.500 Y
0.500 0.000 0.000 Y
0.750 0.500 0.500 Sb
0.000 0.000 0.000 Sb
0.875 0.486 0.014 Si
0.111 0.014 0.514 Si
0.375 0.514 0.986 Si
0.639 0.986 0.486 Si
```

* SG: No. 122
* V: 22.17 Å³ per atom
* E_form (uncorrected): 74 meV/atom



[22]
A PBEsol-optimized structure of ScTcCl2. Source: Alexandria, functional SCAN.

```
ScTcCl2
1.0
-3.005 0.423 0.210
1.579 -0.985 2.546
1.285 7.994 2.297
Cl Sc Tc
2 1 1
Direct
0.000 0.000 0.743 Cl
0.000 0.000 0.257 Cl
0.500 0.000 0.500 Sc
0.500 0.000 0.000 Tc
```

* SG: No. 65
* V: 17.68 Å³ per atom
* E_form (uncorrected): -203 meV/atom



[23]
A PBEsol-optimized structure of LiCaTc2Sn. Source: Alexandria, functional SCAN.

```
LiCaTc2Sn
1.0
-4.402 -0.204 -1.764
-0.426 -4.700 1.606
-1.816 1.647 4.340
Li Ca Sn Tc
1 1 1 2
Direct
0.500 0.000 0.000 Li
0.500 0.500 0.500 Ca
0.000 0.000 0.000 Sn
0.000 0.500 0.000 Tc
0.000 0.000 0.500 Tc
```

* SG: No. 123
* ΔH_f (0 K): 0.918 eV/atom
* V: 23.59 Å³ per atom



[24]
A PBEsol-optimized structure of Nb2TcBiPt. Source: Alexandria, functional SCAN.

```
Nb2TcBiPt
1.0
4.803 0.000 0.000
0.000 5.106 0.000
0.000 0.000 5.106
Pt Bi Tc Nb
1 1 1 2
Direct
0.500 0.000 0.000 Pt
0.000 0.000 0.000 Bi
0.500 0.500 0.500 Tc
0.000 0.000 0.500 Nb
0.000 0.500 0.000 Nb
```

* SG: No. 123
* ΔH_f (0 K): 2.039 eV/atom
* V: 25.05 Å³ per atom



For reference, calculated density by record: 6.48, 7.18, 7.75, 11.35, 9.19, 6.78, 5.28, 13.77, 10.25, 15.91, 17.21, 7.34, 5.50, 5.08, 7.97, 8.29, 9.24, 8.53, 9.33, 3.82, 5.00, 5.02, 5.09, 9.12 g/cm3.